1.
Computed, not measured: CaBi2PtO8 after structural relaxation at the PBE level of DFT.

Cell: 4.927 6.851 4.932 Å, 90.00 91.65 90.00°
Space group P2/m (No. 10)
One atom of each set of equivalent atoms:
Ca (0.000, 0.000, 0.000) x1
Bi (0.500, 0.253, 0.500) x2
Pt (0.000, 0.500, 0.000) x1
O (0.161, 0.277, 0.218) x4
O (0.320, 0.500, 0.746) x2
O (0.342, 0.000, 0.707) x2

For the density of states at the Fermi level, the calculation gives 2.68 states/eV/cell. The electronic total energy comes out at -68.4 eV/cell.

2.
Computed, not measured: Ca4BiPtO after structural relaxation at the PBE level of DFT.

Cell: 4.661 4.661 16.251 Å, 90.00 90.00 90.00°
Space group I4mm (No. 107)
One atom of each set of equivalent atoms:
Ca (0.000, 0.000, 0.000) x2
Ca (0.000, 0.000, 0.352) x2
Ca (0.000, 0.500, 0.197) x4
Bi (0.000, 0.000, 0.551) x2
Pt (0.000, 0.000, 0.822) x2
O (0.000, 0.000, 0.209) x2

For the density of states at the Fermi level, the calculation gives 7.36 states/eV/cell. The electronic total energy comes out at -65.2 eV/cell.

3.
Computed, not measured: CaBi2PtO6 after structural relaxation at the PBE level of DFT.

Cell: 5.8480 5.8480 14.8533 Å, 90.00 90.00 120.00°
Space group R3 (No. 146, hexagonal axes)
One atom of each set of equivalent atoms:
Ca (0.0000, 0.0000, 0.0000) x3
Bi (0.0000, 0.0000, 0.2757) x3
Bi (0.0000, 0.0000, 0.7829) x3
Pt (0.0000, 0.0000, 0.4855) x3
O (0.0716, 0.3384, 0.5566) x9
O (0.0895, 0.7070, 0.0655) x9

For the density of states at the Fermi level, the calculation gives 0.00 states/eV/cell. The electronic total energy comes out at -177.6 eV/cell.

4.
Computed, not measured: CaPuBi2O8 after structural relaxation at the PBE level of DFT.

Cell: 7.311 7.361 7.029 Å, 90.00 90.00 90.00°
Space group Cmmm (No. 65)
One atom of each set of equivalent atoms:
Ca (0.000, 0.000, 0.000) x2
Pu (0.000, 0.000, 0.500) x2
Bi (0.000, 0.500, 0.244) x4
O (0.000, 0.279, 0.500) x4
O (0.000, 0.313, 0.000) x4
O (0.184, 0.000, 0.285) x8

For the density of states at the Fermi level, the calculation gives 5.35 states/eV/cell. The electronic total energy comes out at -173.0 eV/cell.

5.
Computed, not measured: CaPuBi2O6 after structural relaxation at the PBE level of DFT.

Cell: 5.844 6.281 10.263 Å, 90.00 124.10 90.00°
Space group P2_1/c (No. 14)
One atom of each set of equivalent atoms:
Ca (0.000, 0.000, 0.000) x2
Pu (0.500, 0.000, 0.500) x2
Bi (0.235, 0.034, 0.746) x4
O (0.113, 0.169, 0.438) x4
O (0.271, 0.692, 0.426) x4
O (0.407, 0.061, 0.258) x4

For the density of states at the Fermi level, the calculation gives 0.44 states/eV/cell. The electronic total energy comes out at -149.7 eV/cell.

6.
Computed, not measured: CaPuBiO after structural relaxation at the PBE level of DFT.

Cell: 4.595 4.595 9.072 Å, 90.00 90.00 90.00°
Space group P4/nmm (No. 129, origin choice 2)
One atom of each set of equivalent atoms:
Ca (0.250, 0.750, 0.000) x2
Pu (0.250, 0.250, 0.323) x2
Bi (0.250, 0.250, 0.687) x2
O (0.250, 0.250, 0.082) x2

For the density of states at the Fermi level, the calculation gives 25.08 states/eV/cell. The electronic total energy comes out at -63.8 eV/cell.

7.
Computed, not measured: CaPuBiO2 after structural relaxation at the PBE level of DFT.

Cell: 3.914 3.914 13.839 Å, 90.00 90.00 90.00°
Space group I4mm (No. 107)
One atom of each set of equivalent atoms:
Ca (0.000, 0.000, 0.000) x2
Pu (0.000, 0.000, 0.340) x2
Bi (0.000, 0.000, 0.671) x2
O (0.000, 0.500, 0.410) x4

For the density of states at the Fermi level, the calculation gives 7.77 states/eV/cell. The electronic total energy comes out at -82.6 eV/cell.

8.
Computed, not measured: Ca2PuBiO8 after structural relaxation at the PBE level of DFT.

Cell: 7.035 7.470 6.885 Å, 90.00 90.00 90.00°
Space group Cmmm (No. 65)
One atom of each set of equivalent atoms:
Ca (0.000, 0.000, 0.249) x4
Pu (0.000, 0.500, 0.500) x2
Bi (0.000, 0.500, 0.000) x2
O (0.000, 0.319, 0.266) x8
O (0.213, 0.000, 0.000) x4
O (0.228, 0.000, 0.500) x4

For the density of states at the Fermi level, the calculation gives 6.46 states/eV/cell. The electronic total energy comes out at -174.3 eV/cell.

9.
Computed, not measured: Ca2PuBiO6 after structural relaxation at the PBE level of DFT.

Cell: 6.159 6.159 4.486 Å, 90.00 90.00 90.00°
Space group P4mm (No. 99)
One atom of each set of equivalent atoms:
Ca (0.000, 0.500, 0.000) x2
Pu (0.000, 0.000, 0.681) x1
Bi (0.500, 0.500, 0.641) x1
O (0.000, 0.000, 0.192) x1
O (0.241, 0.241, 0.745) x4
O (0.500, 0.500, 0.149) x1

For the density of states at the Fermi level, the calculation gives 7.25 states/eV/cell. The electronic total energy comes out at -74.8 eV/cell.

10.
Computed, not measured: Rb3CaBi2O6 after structural relaxation at the PBE level of DFT.

Cell: 6.245 10.819 6.859 Å, 90.00 107.67 90.00°
Space group C2/m (No. 12)
One atom of each set of equivalent atoms:
Rb (0.000, 0.000, 0.000) x2
Rb (0.000, 0.335, 0.000) x4
Ca (0.000, 0.500, 0.500) x2
Bi (0.000, 0.167, 0.500) x4
O (0.220, 0.000, 0.684) x4
O (0.233, 0.329, 0.685) x8

For the density of states at the Fermi level, the calculation gives 12.42 states/eV/cell. The electronic total energy comes out at -121.6 eV/cell.

11.
Computed, not measured: Rb2CaBiO4 after structural relaxation at the PBE level of DFT.

Cell: 6.210 13.674 20.934 Å, 90.00 90.00 90.00°
Space group Fddd (No. 70, origin choice 2)
One atom of each set of equivalent atoms:
Rb (0.125, 0.125, 0.318) x16
Ca (0.125, 0.125, 0.125) x8
Bi (0.125, 0.125, 0.625) x8
O (0.116, 0.279, 0.835) x32

For the density of states at the Fermi level, the calculation gives 21.60 states/eV/cell. The electronic total energy comes out at -308.7 eV/cell.

12.
Computed, not measured: Rb3Ca2BiO6 after structural relaxation at the PBE level of DFT.

Cell: 6.106 10.573 6.834 Å, 90.00 107.35 90.00°
Space group C2/m (No. 12)
One atom of each set of equivalent atoms:
Rb (0.000, 0.000, 0.000) x2
Rb (0.000, 0.329, 0.000) x4
Ca (0.000, 0.166, 0.500) x4
Bi (0.000, 0.500, 0.500) x2
O (0.213, 0.348, 0.680) x8
O (0.243, 0.500, 0.317) x4

For the density of states at the Fermi level, the calculation gives 0.00 states/eV/cell. The electronic total energy comes out at -124.8 eV/cell.

13.
Computed, not measured: CaReBi2O8 after structural relaxation at the PBE level of DFT.

Cell: 7.228 7.316 6.847 Å, 90.00 90.00 90.00°
Space group Cmmm (No. 65)
One atom of each set of equivalent atoms:
Ca (0.000, 0.000, 0.000) x2
Re (0.000, 0.000, 0.500) x2
Bi (0.000, 0.500, 0.250) x4
O (0.000, 0.261, 0.500) x4
O (0.000, 0.314, 0.000) x4
O (0.180, 0.000, 0.296) x8

For the density of states at the Fermi level, the calculation gives 6.80 states/eV/cell. The electronic total energy comes out at -161.7 eV/cell.

14.
Computed, not measured: CaReBiO6 after structural relaxation at the PBE level of DFT.

Cell: 5.5574 5.5574 4.8305 Å, 90.00 90.00 120.00°
Space group P312 (No. 149)
One atom of each set of equivalent atoms:
Ca (0.0000, 0.0000, 0.0000) x1
Re (0.3333, 0.6667, 0.0000) x1
Bi (0.6667, 0.3333, 0.5000) x1
O (0.0488, 0.3865, 0.2241) x6

The electronic total energy comes out at -64.3 eV/cell.

15.
Computed, not measured: CaBiRhO6 after structural relaxation at the PBE level of DFT.

Cell: 5.4620 5.4620 9.9359 Å, 90.00 90.00 120.00°
Space group P-31c (No. 163)
One atom of each set of equivalent atoms:
Ca (0.0000, 0.0000, 0.0000) x2
Bi (0.3333, 0.6667, 0.2500) x2
Rh (0.3333, 0.6667, 0.7500) x2
O (0.0276, 0.3740, 0.6384) x12

For the density of states at the Fermi level, the calculation gives 8.32 states/eV/cell. The electronic total energy comes out at -108.4 eV/cell.

16.
Computed, not measured: CaBiRh2O6 after structural relaxation at the PBE level of DFT.

Cell: 5.6404 5.6404 13.5265 Å, 90.00 90.00 120.00°
Space group R3 (No. 146, hexagonal axes)
One atom of each set of equivalent atoms:
Ca (0.0000, 0.0000, 0.0000) x3
Bi (0.0000, 0.0000, 0.5033) x3
Rh (0.0000, 0.0000, 0.2309) x3
Rh (0.0000, 0.0000, 0.7303) x3
O (0.0792, 0.3506, 0.8037) x9
O (0.0821, 0.7192, 0.2976) x9

For the density of states at the Fermi level, the calculation gives 15.96 states/eV/cell. The electronic total energy comes out at -189.8 eV/cell.

17.
Computed, not measured: CaBi2RuO8 after structural relaxation at the PBE level of DFT.

Cell: 5.015 6.850 5.050 Å, 90.00 91.08 90.00°
Space group P2/m (No. 10)
One atom of each set of equivalent atoms:
Ca (0.000, 0.000, 0.000) x1
Bi (0.500, 0.251, 0.500) x2
Ru (0.000, 0.500, 0.000) x1
O (0.198, 0.289, 0.173) x4
O (0.250, 0.500, 0.721) x2
O (0.305, 0.000, 0.674) x2

For the density of states at the Fermi level, the calculation gives 4.91 states/eV/cell. The electronic total energy comes out at -73.6 eV/cell.

18.
Computed, not measured: Ca2BiRuO8 after structural relaxation at the PBE level of DFT.

Cell: 5.106 6.629 5.111 Å, 90.00 92.11 90.00°
Space group P2/m (No. 10)
One atom of each set of equivalent atoms:
Ca (0.000, 0.245, 0.000) x2
Bi (0.500, 0.500, 0.500) x1
Ru (0.500, 0.000, 0.500) x1
O (0.211, 0.500, 0.208) x2
O (0.243, 0.000, 0.241) x2
O (0.322, 0.220, 0.676) x4

For the density of states at the Fermi level, the calculation gives 5.20 states/eV/cell. The electronic total energy comes out at -74.3 eV/cell.

19.
Computed, not measured: Ca2BiRuO6 after structural relaxation at the PBE level of DFT.

Cell: 5.701 5.701 4.984 Å, 90.00 90.00 90.00°
Space group P4mm (No. 99)
One atom of each set of equivalent atoms:
Ca (0.000, 0.500, 0.000) x2
Bi (0.000, 0.000, 0.603) x1
Ru (0.500, 0.500, 0.629) x1
O (0.000, 0.000, 0.176) x1
O (0.268, 0.268, 0.755) x4
O (0.500, 0.500, 0.270) x1

For the density of states at the Fermi level, the calculation gives 2.79 states/eV/cell. The electronic total energy comes out at -63.6 eV/cell.

20.
Computed, not measured: CaBiS2O8 after structural relaxation at the PBE level of DFT.

Cell: 5.2069 5.2069 7.8532 Å, 90.00 90.00 120.00°
Space group P-3 (No. 147)
One atom of each set of equivalent atoms:
Ca (0.0000, 0.0000, 0.0000) x1
Bi (0.0000, 0.0000, 0.5000) x1
S (0.3333, 0.6667, 0.8148) x2
O (0.1745, 0.3528, 0.7527) x6
O (0.3333, 0.6667, 0.0024) x2

For the density of states at the Fermi level, the calculation gives 1.61 states/eV/cell. The electronic total energy comes out at -72.7 eV/cell.